(1)
Entry from Alexandria: an optimized crystal structure of Ti4HSe (GGA-PBE).

## Properties
raw total energy	-0.2482	hartree per atom
V	14.359	A^3/atom

The structure in CIF format:
```
data_Ti4HSe
_chemical_formula_sum 'Ti8 H2 Se2'
_cell_length_a 5.3298
_cell_length_b 5.6406
_cell_length_c 6.4930
_cell_angle_alpha 103.24
_cell_angle_beta 114.23
_cell_angle_gamma 90.00
_space_group_name_H-M_alt 'P 1'
_space_group_IT_number 1
loop_
_space_group_symop_operation_xyz
'x,y,z'
loop_
_atom_site_label
_atom_site_type_symbol
_atom_site_fract_x
_atom_site_fract_y
_atom_site_fract_z
Ti1 Ti 0.4900 0.0437 0.7938
Ti2 Ti 0.6962 0.4563 0.2062
Ti3 Ti 0.5100 0.9563 0.2062
Ti4 Ti 0.3038 0.5437 0.7938
Ti5 Ti 0.9237 0.8615 0.6454
Ti6 Ti 0.2783 0.6385 0.3546
Ti7 Ti 0.0763 0.1385 0.3546
Ti8 Ti 0.7217 0.3615 0.6454
H1 H 0.5000 0.0000 0.5000
H2 H 0.0000 0.5000 0.5000
Se1 Se 0.8343 0.7500 0.0000
Se2 Se 0.1657 0.2500 0.0000
```

(2)
Entry from Alexandria: an optimized crystal structure of Ti3HSe2 (GGA-PBE).

## Properties
raw total energy	-0.2335	hartree per atom
V	14.983	A^3/atom

The structure in CIF format:
```
data_Ti3HSe2
_chemical_formula_sum 'Ti6 H2 Se4'
_cell_length_a 4.9489
_cell_length_b 6.5969
_cell_length_c 6.2006
_cell_angle_alpha 103.17
_cell_angle_beta 113.52
_cell_angle_gamma 90.00
_space_group_name_H-M_alt 'P 1'
_space_group_IT_number 1
loop_
_space_group_symop_operation_xyz
'x,y,z'
loop_
_atom_site_label
_atom_site_type_symbol
_atom_site_fract_x
_atom_site_fract_y
_atom_site_fract_z
Ti1 Ti 0.4837 0.2500 0.0000
Ti2 Ti 0.5163 0.7500 0.0000
Ti3 Ti 0.1166 0.0816 0.2371
Ti4 Ti 0.8795 0.4184 0.7629
Ti5 Ti 0.1205 0.5816 0.2371
Ti6 Ti 0.8834 0.9184 0.7629
H1 H 0.9134 0.7500 0.0000
H2 H 0.0866 0.2500 0.0000
Se1 Se 0.6830 0.5838 0.3626
Se2 Se 0.6796 0.0838 0.3626
Se3 Se 0.3204 0.9162 0.6374
Se4 Se 0.3170 0.4162 0.6374
```